PmHfAs2 | PBE-GGA | optimized geometry

Cell lengths 4.9381, 4.9381, 4.9381 Å; angles 60.00, 60.00, 60.00 degrees
With the nearest neighbours (Å) after each atom.
Element x y z (fractional)
As  0.7500  0.7500  0.7500  4 Hf 3.02, 4 Pm 3.02
As  0.2500  0.2500  0.2500  4 Pm 3.02, 4 Hf 3.02
Pm  0.5000  0.5000  0.5000  8 As 3.02
Hf  0.0000  0.0000  0.0000  8 As 3.02

total magnetic moment: 0.0 μB/cell
energy: -6.76 eV/atom